A plane-wave DFT calculation with PBE-GGA was carried out for crystalline ZnHg2Mo at its relaxed geometry.

Cell: 2.899 2.899 8.785 Å, 90.00 90.00 91.48°
Sites, in units of the cell vectors:
1 Hg 0.000 0.000 0.999
2 Hg 0.000 0.000 0.501
3 Mo 0.500 0.500 0.250
4 Zn 0.500 0.500 0.750

ΔH_f (0 K): 0.479 eV per atom
Space group: Cmmm (65)

=====

A plane-wave DFT calculation with PBE-GGA was carried out for crystalline Tm4CdCu2Pd at its relaxed geometry.

Cell: 4.958 4.958 8.592 Å, 73.23 73.23 60.00°
Sites, in units of the cell vectors:
1 Tm 0.380 0.380 0.859
2 Tm 0.871 0.871 0.388
3 Tm 0.129 0.129 0.612
4 Tm 0.620 0.620 0.141
5 Cd 0.000 0.000 0.000
6 Cu 0.744 0.744 0.767
7 Cu 0.256 0.256 0.233
8 Pd 0.500 0.500 0.500

ΔH_f (0 K): -0.443 eV per atom
Space group: R-3m (166)

=====

A plane-wave DFT calculation with PBE-GGA was carried out for crystalline Zr2Tc at its relaxed geometry.

Cell: 7.019 7.019 5.166 Å, 90.00 90.00 151.96°
Sites, in units of the cell vectors:
1 Zr 0.400 0.600 0.750
2 Zr 0.100 0.900 0.750
3 Zr 0.900 0.100 0.250
4 Zr 0.600 0.400 0.250
5 Tc 0.750 0.250 0.750
6 Tc 0.250 0.750 0.250

ΔH_f (0 K): -0.096 eV per atom
Offset from the most stable computed form: 179 meV per atom
Space group: Fmmm (69)

=====

A plane-wave DFT calculation with PBE-GGA was carried out for crystalline BeTl2P at its relaxed geometry.

Cell: 5.315 5.315 5.315 Å, 128.74 128.74 75.43°
Sites, in units of the cell vectors:
1 P 0.750 0.250 0.500
2 Tl 0.000 0.000 0.000
3 Tl 0.250 0.750 0.500
4 Be 0.500 0.500 0.000

ΔH_f (0 K): 0.748 eV per atom
Offset from the most stable computed form: 622 meV per atom
Space group: I-4m2 (119)

=====

A plane-wave DFT calculation with PBE-GGA was carried out for crystalline TaP2W at its relaxed geometry.

Cell: 4.328 4.328 3.069 Å, 90.00 90.00 90.00°
Sites, in units of the cell vectors:
1 P 0.000 0.000 0.000
2 P 0.500 0.500 0.000
3 Ta 0.500 0.000 0.500
4 W 0.000 0.500 0.500

ΔH_f (0 K): -0.297 eV per atom
Space group: P4/mmm (123)

=====

A plane-wave DFT calculation with PBE-GGA was carried out for crystalline TcTeRh2C at its relaxed geometry.

Cell: 4.809 5.036 4.809 Å, 90.00 90.00 90.00°
Site moments in Bohr magnetons follow the coordinates.
Sites, in units of the cell vectors:
1 C 0.500 0.500 0.500  -0.32
2 Te 0.000 0.000 0.000  -0.05
3 Rh 0.000 0.000 0.500  0.13
4 Rh 0.500 0.000 0.000  0.20
5 Tc 0.000 0.500 0.000  2.66

Formation energy without anion corrections: 12.53 eV/f.u.
Space group: P4/mmm (123)

=====

A plane-wave DFT calculation with PBE-GGA was carried out for crystalline MgCo2Pt at its relaxed geometry.

Cell: 4.484 2.708 4.603 Å, 84.56 90.00 90.00°
Site moments in Bohr magnetons follow the coordinates.
Sites, in units of the cell vectors:
1 Co 0.000 0.961 0.001  1.76
2 Co 0.000 0.539 0.499  1.76
3 Mg 0.500 0.250 0.250  -0.01
4 Pt 0.500 0.750 0.750  0.18

ΔH_f (0 K): -0.028 eV per atom
Space group: P2/m (10)

=====

A plane-wave DFT calculation with PBE-GGA was carried out for crystalline MgZnGaPd2 at its relaxed geometry.

Cell: 4.104 6.518 5.837 Å, 96.57 90.00 90.00°
Sites, in units of the cell vectors:
1 Mg 0.250 0.739 0.247
2 Mg 0.750 0.261 0.753
3 Zn 0.250 0.549 0.674
4 Zn 0.750 0.451 0.326
5 Ga 0.250 0.940 0.815
6 Ga 0.750 0.060 0.185
7 Pd 0.750 0.837 0.528
8 Pd 0.750 0.679 0.963
9 Pd 0.250 0.163 0.472
10 Pd 0.250 0.321 0.037

ΔH_f (0 K): -0.554 eV per atom
Space group: P2_1/m (11)

=====

A plane-wave DFT calculation with PBE-GGA was carried out for crystalline Nd4BiTe3 at its relaxed geometry.

Cell: 6.337 9.189 11.089 Å, 90.00 90.00 90.00°
Sites, in units of the cell vectors:
1 Nd 0.064 0.834 0.000
2 Nd 0.564 0.179 0.000
3 Nd 0.064 0.333 0.256
4 Nd 0.564 0.667 0.244
5 Nd 0.064 0.821 0.500
6 Nd 0.564 0.166 0.500
7 Nd 0.564 0.667 0.756
8 Nd 0.064 0.333 0.744
9 Bi 0.064 0.180 0.000
10 Bi 0.564 0.820 0.500
11 Te 0.564 0.840 0.000
12 Te 0.064 0.673 0.247
13 Te 0.564 0.327 0.253
14 Te 0.064 0.160 0.500
15 Te 0.564 0.327 0.747
16 Te 0.064 0.673 0.753

Formation energy without anion corrections: -8.63 eV/f.u.
Space group: Pmmn (59)

=====

A plane-wave DFT calculation with PBE-GGA was carried out for crystalline Ti3BeNi4 at its relaxed geometry.

Cell: 4.099 4.099 7.338 Å, 73.60 73.60 59.99°
Sites, in units of the cell vectors:
1 Be 0.000 0.000 0.000
2 Ni 0.888 0.888 0.333
3 Ni 0.373 0.373 0.880
4 Ni 0.112 0.112 0.667
5 Ni 0.627 0.627 0.120
6 Ti 0.255 0.255 0.236
7 Ti 0.745 0.745 0.764
8 Ti 0.500 0.500 0.500

ΔH_f (0 K): -0.360 eV per atom
Space group: C2/m (12)

=====

A plane-wave DFT calculation with PBE-GGA was carried out for crystalline Na2AsS4 at its relaxed geometry.

Cell: 9.585 9.249 9.249 Å, 82.29 90.00 90.00°
Sites, in units of the cell vectors:
1 Na 0.500 0.139 0.139
2 Na 0.000 0.177 0.823
3 Na 0.000 0.823 0.177
4 Na 0.500 0.861 0.861
5 Na 0.500 0.677 0.323
6 Na 0.000 0.639 0.639
7 Na 0.500 0.323 0.677
8 Na 0.000 0.361 0.361
9 As 0.007 0.000 0.500
10 As 0.507 0.000 0.500
11 As 0.993 0.500 0.000
12 As 0.493 0.500 0.000
13 S 0.142 0.176 0.561
14 S 0.422 0.272 0.386
15 S 0.922 0.114 0.228
16 S 0.642 0.061 0.676
17 S 0.642 0.939 0.324
18 S 0.922 0.886 0.772
19 S 0.422 0.728 0.614
20 S 0.142 0.824 0.439
21 S 0.358 0.676 0.061
22 S 0.078 0.772 0.886
23 S 0.578 0.614 0.728
24 S 0.858 0.561 0.176
25 S 0.858 0.439 0.824
26 S 0.578 0.386 0.272
27 S 0.078 0.228 0.114
28 S 0.358 0.324 0.939

Offset from the most stable computed form: 10 meV per atom
Formation energy without anion corrections: -3.03 eV/f.u.
Space group: Ccce (68)

=====

A plane-wave DFT calculation with PBE-GGA was carried out for crystalline Li3InCu at its relaxed geometry.

Cell: 4.628 4.628 4.628 Å, 90.00 90.00 90.00°
Sites, in units of the cell vectors:
1 Li 0.000 0.500 0.000
2 Li 0.000 0.000 0.500
3 Li 0.500 0.000 0.000
4 Cu 0.000 0.000 0.000
5 In 0.500 0.500 0.500

ΔH_f (0 K): 0.103 eV per atom
Offset from the most stable computed form: 135 meV per atom
Space group: Pm-3m (221)

=====

A plane-wave DFT calculation with PBE-GGA was carried out for crystalline NaSbTe2Rh at its relaxed geometry.

Cell: 5.336 5.336 5.183 Å, 90.00 90.00 90.00°
Site moments in Bohr magnetons follow the coordinates.
Sites, in units of the cell vectors:
1 Sb 0.000 0.000 0.500  -0.01
2 Te 0.000 0.500 0.000  0.00
3 Te 0.500 0.000 0.000  0.00
4 Rh 0.500 0.500 0.500  0.29
5 Na 0.000 0.000 0.000  0.00

Offset from the most stable computed form: 1173 meV per atom
Formation energy without anion corrections: 5.64 eV/f.u.
Space group: P4/mmm (123)

=====

A plane-wave DFT calculation with PBE-GGA was carried out for crystalline Al2ZnNi at its relaxed geometry.

Cell: 8.304 8.304 8.304 Å, 19.70 19.70 19.70°
Sites, in units of the cell vectors:
1 Ni 0.250 0.250 0.250
2 Zn 0.750 0.750 0.750
3 Al 0.993 0.993 0.993
4 Al 0.507 0.507 0.507

ΔH_f (0 K): -0.209 eV per atom
Space group: R-3m (166)

=====

A plane-wave DFT calculation with PBE-GGA was carried out for crystalline ZrTeAs2 at its relaxed geometry.

Cell: 3.584 3.592 7.723 Å, 62.29 90.00 90.00°
Sites, in units of the cell vectors:
1 As 0.000 0.061 0.939
2 As 0.000 0.439 0.561
3 Te 0.500 0.250 0.250
4 Zr 0.500 0.750 0.750

Formation energy without anion corrections: -1.78 eV/f.u.
Space group: P4/mmm (123)

=====

A plane-wave DFT calculation with PBE-GGA was carried out for crystalline Ba8SnRhAu2 at its relaxed geometry.

Cell: 7.800 7.695 9.973 Å, 90.00 90.00 89.19°
Sites, in units of the cell vectors:
1 Ba 0.170 0.783 0.224
2 Ba 0.686 0.738 0.000
3 Ba 0.830 0.217 0.224
4 Ba 0.830 0.217 0.776
5 Ba 0.314 0.262 0.000
6 Ba 0.170 0.783 0.776
7 Ba 0.661 0.725 0.500
8 Ba 0.339 0.275 0.500
9 Sn 0.000 0.000 0.500
10 Rh 0.000 0.000 0.000
11 Au 0.500 0.500 0.754
12 Au 0.500 0.500 0.246

ΔH_f (0 K): -0.397 eV per atom
Space group: P2/m (10)

=====

A plane-wave DFT calculation with PBE-GGA was carried out for crystalline GePd2PbI at its relaxed geometry.

Cell: 4.959 6.263 4.959 Å, 90.00 90.00 90.00°
Sites, in units of the cell vectors:
1 Pb 0.000 0.500 0.000
2 I 0.000 0.000 0.000
3 Ge 0.500 0.500 0.500
4 Pd 0.000 0.000 0.500
5 Pd 0.500 0.000 0.000

Formation energy without anion corrections: 3.60 eV/f.u.
Space group: P4/mmm (123)

=====

A plane-wave DFT calculation with PBE-GGA was carried out for crystalline BaReAu at its relaxed geometry.

Cell: 4.911 4.911 4.911 Å, 60.00 60.00 60.00°
Site moments in Bohr magnetons follow the coordinates.
Sites, in units of the cell vectors:
1 Re 0.750 0.750 0.750  2.02
2 Au 0.000 0.000 0.000  0.12
3 Ba 0.500 0.500 0.500  0.04

ΔH_f (0 K): 1.234 eV per atom
Offset from the most stable computed form: 437 meV per atom
Space group: F-43m (216)

=====

A plane-wave DFT calculation with PBE-GGA was carried out for crystalline ErScSb2 at its relaxed geometry.

Cell: 4.260 4.260 7.376 Å, 73.22 73.22 60.00°
Sites, in units of the cell vectors:
1 Sc 0.000 0.000 0.000
2 Sb 0.254 0.254 0.237
3 Sb 0.746 0.746 0.763
4 Er 0.500 0.500 0.500

Offset from the most stable computed form: 0 meV per atom
Formation energy without anion corrections: -4.04 eV/f.u.
Space group: R-3m (166)

=====

A plane-wave DFT calculation with PBE-GGA was carried out for crystalline Rb3Mg2AgCl8 at its relaxed geometry.

Cell: 7.410 7.410 9.371 Å, 90.00 90.00 120.00°
Sites, in units of the cell vectors:
1 Rb 0.333 0.667 0.624
2 Rb 0.667 0.333 0.376
3 Rb 0.000 0.000 0.000
4 Mg 0.333 0.667 0.206
5 Mg 0.667 0.333 0.794
6 Ag 0.000 0.000 0.500
7 Cl 0.333 0.667 0.962
8 Cl 0.667 0.333 0.038
9 Cl 0.167 0.833 0.313
10 Cl 0.833 0.167 0.687
11 Cl 0.167 0.334 0.313
12 Cl 0.833 0.666 0.687
13 Cl 0.666 0.833 0.313
14 Cl 0.334 0.167 0.687

Formation energy without anion corrections: -23.52 eV/f.u.
Space group: P-3m1 (164)

=====

A plane-wave DFT calculation with PBE-GGA was carried out for crystalline IrRu2RhCl at its relaxed geometry.

Cell: 4.794 4.772 4.794 Å, 90.00 90.00 90.00°
Site moments in Bohr magnetons follow the coordinates.
Sites, in units of the cell vectors:
1 Ru 0.000 0.000 0.500  1.50
2 Ru 0.500 0.000 0.000  1.27
3 Ir 0.000 0.000 0.000  -0.01
4 Rh 0.000 0.500 0.000  0.09
5 Cl 0.500 0.500 0.500  0.12

Formation energy without anion corrections: 8.31 eV/f.u.
Space group: P4/mmm (123)

=====

A plane-wave DFT calculation with PBE-GGA was carried out for crystalline Nd3Cu at its relaxed geometry.

Cell: 3.697 3.625 9.440 Å, 90.00 90.00 90.00°
Sites, in units of the cell vectors:
1 Nd 0.000 0.500 0.465
2 Nd 0.500 0.500 0.134
3 Nd 0.500 0.000 0.744
4 Cu 0.000 0.000 0.990

ΔH_f (0 K): 0.142 eV per atom
Space group: Pmm2 (25)

=====

A plane-wave DFT calculation with PBE-GGA was carried out for crystalline NdZnAg3 at its relaxed geometry.

Cell: 6.087 5.852 5.841 Å, 90.00 93.75 90.00°
Sites, in units of the cell vectors:
1 Nd 0.673 0.250 0.662
2 Nd 0.327 0.750 0.338
3 Zn 0.142 0.250 0.438
4 Zn 0.858 0.750 0.562
5 Ag 0.844 0.002 0.177
6 Ag 0.156 0.998 0.823
7 Ag 0.844 0.498 0.177
8 Ag 0.156 0.502 0.823
9 Ag 0.440 0.250 0.137
10 Ag 0.560 0.750 0.863

ΔH_f (0 K): -0.221 eV per atom
Offset from the most stable computed form: 0 meV per atom
Space group: P2_1/m (11)

=====

A plane-wave DFT calculation with PBE-GGA was carried out for crystalline TbGd2Dy at its relaxed geometry.

Cell: 3.563 3.563 11.822 Å, 81.33 81.33 60.00°
Site moments in Bohr magnetons follow the coordinates.
Sites, in units of the cell vectors:
1 Gd 0.750 0.750 0.750  -7.14
2 Gd 0.250 0.250 0.250  -7.14
3 Tb 0.000 0.000 0.000  0.06
4 Dy 0.500 0.500 0.500  0.05

ΔH_f (0 K): 0.023 eV per atom
Offset from the most stable computed form: 0 meV per atom
Space group: R-3m (166)

=====

A plane-wave DFT calculation with PBE-GGA was carried out for crystalline Ba4ZnH2 at its relaxed geometry.

Cell: 7.993 7.993 9.324 Å, 115.38 115.38 90.00°
Sites, in units of the cell vectors:
1 Ba 0.905 0.813 0.381
2 Ba 0.187 0.524 0.619
3 Ba 0.432 0.095 0.619
4 Ba 0.774 0.182 0.119
5 Ba 0.818 0.655 0.881
6 Ba 0.063 0.226 0.881
7 Ba 0.476 0.568 0.381
8 Ba 0.345 0.937 0.119
9 Zn 0.750 0.250 0.500
10 Zn 0.500 0.500 0.000
11 H 0.125 0.875 0.750
12 H 0.625 0.875 0.750
13 H 0.125 0.875 0.250
14 H 0.125 0.375 0.250

Offset from the most stable computed form: 0 meV per atom
Space group: I4_1/a (88)